1.
Crystalline Sm7Ho2Er2 at its relaxed geometry, computed with PBE.

The calculation puts the calculated formation energy at 0.347 eV per atom. The energy above the most stable polymorph in this dataset comes out at 207 meV/atom.

The structure belongs to space group Cmmm (No. 65); the cell edges are 6.609, 12.015 and 9.586 Å and the angles 90.00°, 90.00° and 90.00°. The inequivalent atoms are Sm at (0.000, 0.000, 0.000), Sm at (0.000, 0.500, 0.183), Sm at (0.250, 0.250, 0.315), Ho at (0.249, 0.500, 0.500) and Er at (0.000, 0.271, 0.000).

=====

2.
Crystalline Pr8GeIr3I4 at its relaxed geometry, computed with PBE.

As for the energy relative to the elements, uncorrected: -0.9356 eV/atom.

The structure belongs to space group R-3m (No. 166, hexagonal axes); the cell edges are 8.6134, 8.6134 and 24.2738 Å and the angles 90.00°, 90.00° and 120.00°. The inequivalent atoms are Pr at (0.0000, 0.0000, 0.2293), Pr at (0.0129, 0.5065, 0.7712), Ge at (0.0000, 0.0000, 0.5000), Ir at (0.0000, 0.5000, 0.5000), I at (0.0000, 0.0000, 0.0000) and I at (0.0000, 0.5000, 0.0000).

=====

3.
Crystalline AcLaZnAs at its relaxed geometry, computed with PBE.

The calculation puts the calculated formation energy at -0.625 eV per atom.

The structure belongs to space group F-43m (No. 216); the cell edges are 7.625, 7.625 and 7.625 Å and the angles 90.00°, 90.00° and 90.00°. The inequivalent atoms are Ac at (0.000, 0.000, 0.000), La at (0.000, 0.000, 0.500), Zn at (0.250, 0.250, 0.250) and As at (0.250, 0.250, 0.750).

=====

no.,M_tot (Bohr magnetons per cell)
1,0.000
2,0.000
3,0.001